Computed, not measured: a crystal of Mg2ZrAs relaxed with PBEsol at the meta-GGA SCAN level of DFT.

a = 9.765 Å, b = 9.765 Å, c = 9.765 Å
α = 18.45°, β = 18.45°, γ = 18.45°
Atoms (fractional coordinates):
1 Mg 0.242 0.242 0.242
2 Mg 0.758 0.758 0.758
3 Zr 0.000 0.000 0.000
4 As 0.500 0.500 0.500

Summary:
- N(E_F): 0.58 states/eV per atom
- Formation enthalpy at 0 K: -5 kJ per mole of atoms
- Total magnetic moment: 0.00 μB/cell
- Symmetry: R-3m (166)
- E: -0.5610 hartree per atom